(1)
Computed, not measured: an optimized crystal structure of AlTlSe2 at the PBEsol level of DFT.

It has space group I-42d (No. 122), with a = 7.242 Å, b = 7.242 Å, c = 8.225 Å, α = 90.00°, β = 90.00° and γ = 90.00°. The asymmetric unit holds Al at (0.000, 0.000, 0.000), Tl at (0.000, 0.000, 0.500) and Se at (0.164, 0.750, 0.125).

For the total energy, the calculation gives -68.1 eV per cell. The theoretical density is 5994 kg/m³. The raw formation energy is -0.652 eV/atom.



(2)
Computed, not measured: an optimized crystal structure of AlTlSe2 at the PBEsol level of DFT.

It has space group I4/mcm (No. 140), with a = 7.971 Å, b = 7.971 Å, c = 6.325 Å, α = 90.00°, β = 90.00° and γ = 90.00°. The asymmetric unit holds Al at (0.000, 0.500, 0.250), Tl at (0.000, 0.000, 0.250) and Se at (0.163, 0.337, 0.000).

For the total energy, the calculation gives -69.0 eV per cell. The theoretical density is 6434 kg/m³. The raw formation energy is -0.709 eV/atom.



(3)
Computed, not measured: an optimized crystal structure of AlTlSe4 at the PBEsol level of DFT.

It has space group F-43m (No. 216), with a = 8.225 Å, b = 8.225 Å, c = 8.225 Å, α = 90.00°, β = 90.00° and γ = 90.00°. The asymmetric unit holds Al at (0.000, 0.000, 0.000), Tl at (0.250, 0.250, 0.750) and Se at (0.126, 0.126, 0.374).

For the total energy, the calculation gives -82.3 eV per cell. The theoretical density is 6533 kg/m³. The raw formation energy is 0.257 eV/atom.



(4)
Computed, not measured: an optimized crystal structure of AlTlSe at the PBEsol level of DFT.

It has space group F-43m (No. 216), with a = 6.951 Å, b = 6.951 Å, c = 6.951 Å, α = 90.00°, β = 90.00° and γ = 90.00°. The asymmetric unit holds Al at (0.000, 0.000, 0.000), Tl at (0.250, 0.250, 0.250) and Se at (0.000, 0.000, 0.500).

For the total energy, the calculation gives -39.5 eV per cell. The theoretical density is 6138 kg/m³. The raw formation energy is 0.230 eV/atom.



Q: What is the formula in the first record?
A: AlTlSe2